# Rb3NaV2O8

A relaxed structure of Rb3NaV2O8 (PBE+U, the Alexandria database).

POSCAR file:
```
Rb3NaV2O8
1.0
6.1798 0.0000 0.0000
-3.0899 5.3518 0.0000
0.0000 0.0000 7.9995
Rb Na V O
3 1 2 8
Direct
0.0000 0.0000 0.0000
0.3333 0.6667 0.6695
0.6667 0.3333 0.3305
0.0000 0.0000 0.5000
0.3333 0.6667 0.2354
0.6667 0.3333 0.7646
0.1806 0.3612 0.3112
0.1806 0.8194 0.3112
0.3333 0.6667 0.0183
0.3612 0.1806 0.6888
0.6388 0.8194 0.3112
0.6667 0.3333 0.9817
0.8194 0.1806 0.6888
0.8194 0.6388 0.6888
```

space-group type: P-3m1
D(E_F): 15.2 states/eV/f.u.
energy: -0.2168 Ha/atom
V: 18.90 Å³ per atom